1.
# Ce2SiSbRh6

A relaxed structure of Ce2SiSbRh6 (PBE, the Alexandria database).

a b c (Å): 5.5603 8.3939 5.5526
angles (deg): 70.63 59.98 89.99
Closest atoms and distances in Å follow each position.
Atoms (fractional coordinates):
Rh: 0.2430 0.7286 0.0118  1 Si 2.39, 1 Sb 2.65
Rh: 0.7439 0.7270 0.5119  1 Si 2.39, 1 Sb 2.64
Rh: 0.2553 0.2712 0.9881  1 Si 2.39, 1 Sb 2.65
Rh: 0.2561 0.2730 0.4881  1 Si 2.39, 1 Sb 2.64
Rh: 0.7447 0.7288 0.0119  1 Si 2.39, 1 Sb 2.65
Rh: 0.7570 0.2714 0.9882  1 Si 2.39, 1 Sb 2.65
Sb: 0.0000 0.0000 0.0000  6 Rh 2.64-2.65
Ce: 0.2101 0.6289 0.5796  9 Rh 2.87-3.21
Ce: 0.7899 0.3711 0.4204  9 Rh 2.87-3.21
Si: 0.5000 0.5000 0.0000  6 Rh 2.39

Properties
The space-group type is C2/m (12). The total energy comes out at -71.39 eV per cell. The value obtained for the uncorrected formation energy is -0.5870 eV/atom. The calculation puts the mass density at 8.391 g/cm3.

***

2.
# CeSmSb2Rh5

A relaxed structure of CeSmSb2Rh5 (PBE, the Alexandria database).

a b c (Å): 4.0300 4.0300 12.3248
angles (deg): 90.00 90.00 90.00
Closest atoms and distances in Å follow each position.
Atoms (fractional coordinates):
Rh: 0.0000 0.0000 0.5000  2 Sb 2.57, 4 Sm 2.85
Rh: 0.5000 0.0000 0.1563  2 Sb 2.62, 2 Ce 2.79, 4 Rh 2.85
Rh: 0.5000 0.0000 0.8437  2 Sb 2.62, 2 Ce 2.79, 4 Rh 2.85
Rh: 0.0000 0.5000 0.8437  2 Sb 2.62, 2 Ce 2.79, 4 Rh 2.85
Rh: 0.0000 0.5000 0.1563  2 Sb 2.62, 2 Ce 2.79, 4 Rh 2.85
Ce: 0.0000 0.0000 0.0000  8 Rh 2.79
Sm: 0.5000 0.5000 0.5000  4 Rh 2.85
Sb: 0.0000 0.0000 0.7084  5 Rh 2.57-2.62
Sb: 0.0000 0.0000 0.2916  5 Rh 2.57-2.62

Properties
The space-group type is P4/mmm (123). The total energy comes out at -58.89 eV per cell. The value obtained for the uncorrected formation energy is -0.3597 eV/atom. The calculation puts the mass density at 8.698 g/cm3.